TePO2F | Alexandria | PBE-GGA | optimized geometry; VASP energy = -22.0 eV per cell; uncorrected formation energy = -0.32 eV/atom; mass density = 5.33 g/cm³; size of the total moment = 0.0 μB per formula unit; density of states at the Fermi level = 2.96 states/eV per cell
1.0
-3.790 -0.411 -1.280
-1.043 -1.518 3.576
-0.852 3.717 1.329
O Te P F
2 1 1 1
Cartesian
-0.521 -0.759 1.788
-1.895 -0.206 -0.640
-2.843 0.894 1.813
0.000 0.000 0.000
-0.426 1.859 0.665



TePO2F | Alexandria | PBE-GGA | optimized geometry; VASP energy = -17.4 eV per cell; uncorrected formation energy = 0.59 eV/atom; mass density = 5.12 g/cm³; size of the total moment = 1.5 μB per formula unit; density of states at the Fermi level = 2.63 states/eV per cell
1.0
4.315 0.000 0.000
0.000 4.315 0.000
0.000 0.000 3.653
Te F O P
1 1 2 1
Cartesian
2.157 2.157 1.827
0.000 0.000 0.000
2.157 0.000 0.000
0.000 2.157 0.000
0.000 0.000 1.827



TePO2F | Alexandria | PBE-GGA | optimized geometry; VASP energy = -21.2 eV per cell; uncorrected formation energy = -0.17 eV/atom; mass density = 4.29 g/cm³; size of the total moment = 0.0 μB per formula unit; density of states at the Fermi level = 2.26 states/eV per cell
1.0
-2.839 -0.586 -2.530
2.580 -1.073 -2.645
-0.431 -5.200 1.688
P O F Te
1 2 1 1
Cartesian
-0.216 -2.600 0.844
1.290 -0.536 -1.323
-1.419 -0.293 -1.265
-0.345 -3.430 -1.744
0.000 0.000 0.000



TePO2F | Alexandria | PBE-GGA | optimized geometry; VASP energy = -20.9 eV per cell; uncorrected formation energy = -0.11 eV/atom; mass density = 4.44 g/cm³; size of the total moment = 2.1 μB per formula unit; density of states at the Fermi level = 3.29 states/eV per cell
1.0
-3.733 1.254 -1.516
-1.668 -3.742 1.012
-1.089 1.559 3.970
F O Te P
1 2 1 1
Cartesian
-0.544 0.779 1.985
-1.867 0.627 -0.758
-0.834 -1.871 0.506
0.000 0.000 0.000
-3.245 -0.465 1.733



TeP2O6F2 | Alexandria | PBE-GGA | optimized geometry; VASP energy = -68.9 eV per cell; uncorrected formation energy = -1.95 eV/atom; mass density = 3.11 g/cm³; size of the total moment = 0.0 μB per formula unit; density of states at the Fermi level = 0.00 states/eV per cell
1.0
-0.598 3.021 4.268
-4.096 -0.904 -3.179
-1.726 -5.826 3.881
P O Te F
2 6 1 2
Cartesian
-2.163 0.367 2.682
-4.257 -4.077 2.288
-3.319 0.552 1.692
-4.375 -5.220 1.274
-2.045 1.511 3.697
-3.101 -4.262 3.278
-5.587 -3.732 2.969
-0.832 0.022 2.002
0.000 0.000 0.000
-2.537 -0.897 3.524
-3.883 -2.812 1.446



TiP2OF | Alexandria | PBE-GGA | optimized geometry; VASP energy = -27.8 eV per cell; uncorrected formation energy = -0.46 eV/atom; mass density = 2.78 g/cm³; size of the total moment = 1.0 μB per formula unit; density of states at the Fermi level = 3.99 states/eV per cell
1.0
4.827 0.000 0.000
0.000 4.827 0.000
0.000 0.000 3.715
F P O Ti
1 2 1 1
Cartesian
2.413 2.413 1.858
0.000 2.413 0.000
2.413 0.000 0.000
0.000 0.000 1.858
0.000 0.000 0.000